Material: MgCd2Pt8
Method: DFT, PBE
State: optimized geometry

The formation energy comes out at -0.291 eV per atom.

CIF file:
```
data_MgCd2Pt8
_chemical_formula_sum 'Mg2 Cd4 Pt16'
_symmetry_space_group_name_H-M 'I m m m'
_symmetry_Int_Tables_number 71
_symmetry_space_group_name_Hall '-I 2 2'
_cell_length_a 3.890
_cell_length_b 8.237
_cell_length_c 11.810
_cell_angle_alpha 90.00
_cell_angle_beta 90.00
_cell_angle_gamma 90.00
loop_
_atom_site_label
_atom_site_type_symbol
_atom_site_fract_x
_atom_site_fract_y
_atom_site_fract_z
Mg1 Mg 0.000 0.000 0.000
Cd1 Cd 0.000 0.000 0.362
Pt1 Pt 0.000 0.239 0.168
Pt2 Pt 0.000 0.273 0.500
Pt3 Pt 0.000 0.500 0.324
```

Material: MgCdPt2
Method: DFT, PBE
State: optimized geometry

The formation energy comes out at -0.012 eV per atom.

CIF file:
```
data_MgCdPt2
_chemical_formula_sum 'Mg2 Cd2 Pt4'
_symmetry_space_group_name_H-M 'I m m m'
_symmetry_Int_Tables_number 71
_symmetry_space_group_name_Hall '-I 2 2'
_cell_length_a 2.813
_cell_length_b 4.866
_cell_length_c 10.779
_cell_angle_alpha 90.00
_cell_angle_beta 90.00
_cell_angle_gamma 90.00
loop_
_atom_site_label
_atom_site_type_symbol
_atom_site_fract_x
_atom_site_fract_y
_atom_site_fract_z
Mg1 Mg 0.000 0.000 0.000
Cd1 Cd 0.000 0.000 0.500
Pt1 Pt 0.000 0.000 0.242
```

Material: Mg4Cd5Pt2
Method: DFT, PBE
State: optimized geometry

The formation energy comes out at -0.351 eV per atom.

CIF file:
```
data_Mg4Cd5Pt2
_chemical_formula_sum 'Mg4 Cd5 Pt2'
_symmetry_space_group_name_H-M 'P 1 2/m 1'
_symmetry_Int_Tables_number 10
_symmetry_space_group_name_Hall '-P 2y'
_cell_length_a 7.566
_cell_length_b 3.091
_cell_length_c 9.580
_cell_angle_alpha 90.00
_cell_angle_beta 92.98
_cell_angle_gamma 90.00
loop_
_atom_site_label
_atom_site_type_symbol
_atom_site_fract_x
_atom_site_fract_y
_atom_site_fract_z
Mg1 Mg 0.179 0.000 0.366
Mg2 Mg 0.205 0.000 0.940
Cd1 Cd 0.181 0.500 0.653
Cd2 Cd 0.460 0.500 0.166
Cd3 Cd 0.500 0.500 0.500
Pt1 Pt 0.081 0.500 0.147
```

Material: MgCd2Pt2
Method: DFT, PBE
State: optimized geometry

The formation energy comes out at -0.068 eV per atom. The calculation puts the energy above the lowest structure with this stoichiometry at 347 meV/atom.

CIF file:
```
data_MgCd2Pt2
_chemical_formula_sum 'Mg2 Cd4 Pt4'
_symmetry_space_group_name_H-M 'I 4/m m m'
_symmetry_Int_Tables_number 139
_symmetry_space_group_name_Hall '-I 4 2'
_cell_length_a 3.958
_cell_length_b 3.958
_cell_length_c 13.121
_cell_angle_alpha 90.00
_cell_angle_beta 90.00
_cell_angle_gamma 90.00
loop_
_atom_site_label
_atom_site_type_symbol
_atom_site_fract_x
_atom_site_fract_y
_atom_site_fract_z
Mg1 Mg 0.000 0.000 0.000
Cd1 Cd 0.000 0.000 0.396
Pt1 Pt 0.000 0.500 0.250
```

Material: MgCd5Pt6
Method: DFT, PBE
State: optimized geometry

The formation energy comes out at -0.420 eV per atom.

CIF file:
```
data_MgCd5Pt6
_chemical_formula_sum 'Mg2 Cd10 Pt12'
_symmetry_space_group_name_H-M 'C 1 2/m 1'
_symmetry_Int_Tables_number 12
_symmetry_space_group_name_Hall '-C 2y'
_cell_length_a 8.779
_cell_length_b 12.681
_cell_length_c 4.257
_cell_angle_alpha 90.00
_cell_angle_beta 118.87
_cell_angle_gamma 90.00
loop_
_atom_site_label
_atom_site_type_symbol
_atom_site_fract_x
_atom_site_fract_y
_atom_site_fract_z
Mg1 Mg 0.000 0.000 0.000
Cd1 Cd 0.000 0.167 0.500
Cd2 Cd 0.000 0.334 0.000
Cd3 Cd 0.000 0.500 0.500
Pt1 Pt 0.243 0.000 0.743
Pt2 Pt 0.246 0.164 0.246
```

Material: MgCdPt2
Method: DFT, PBE
State: optimized geometry

The formation energy comes out at -0.509 eV per atom.

CIF file:
```
data_MgCdPt2
_chemical_formula_sum 'Mg2 Cd2 Pt4'
_symmetry_space_group_name_H-M 'C 1 m 1'
_symmetry_Int_Tables_number 8
_symmetry_space_group_name_Hall 'C -2y'
_cell_length_a 10.042
_cell_length_b 2.983
_cell_length_c 4.776
_cell_angle_alpha 90.00
_cell_angle_beta 104.92
_cell_angle_gamma 90.00
loop_
_atom_site_label
_atom_site_type_symbol
_atom_site_fract_x
_atom_site_fract_y
_atom_site_fract_z
Mg1 Mg 0.000 0.000 0.000
Cd1 Cd 0.285 0.500 0.368
Pt1 Pt 0.032 0.500 0.515
Pt2 Pt 0.257 0.000 0.859
```

Material: MgCdPt2
Method: DFT, PBE
State: optimized geometry

The formation energy comes out at -0.164 eV per atom.

CIF file:
```
data_MgCdPt2
_chemical_formula_sum 'Mg4 Cd4 Pt8'
_symmetry_space_group_name_H-M 'I -4 2 d'
_symmetry_Int_Tables_number 122
_symmetry_space_group_name_Hall 'I -4 2bw'
_cell_length_a 4.032
_cell_length_b 4.032
_cell_length_c 18.432
_cell_angle_alpha 90.00
_cell_angle_beta 90.00
_cell_angle_gamma 90.00
loop_
_atom_site_label
_atom_site_type_symbol
_atom_site_fract_x
_atom_site_fract_y
_atom_site_fract_z
Mg1 Mg 0.000 0.000 0.000
Cd1 Cd 0.000 0.000 0.500
Pt1 Pt 0.237 0.250 0.125
```

Material: Mg6Cd2Pt
Method: DFT, PBE
State: optimized geometry

The formation energy comes out at -0.185 eV per atom. The calculation puts the energy above the lowest structure with this stoichiometry at 122 meV/atom.

CIF file:
```
data_Mg6Cd2Pt
_chemical_formula_sum 'Mg12 Cd4 Pt2'
_symmetry_space_group_name_H-M 'C 1 2/m 1'
_symmetry_Int_Tables_number 12
_symmetry_space_group_name_Hall '-C 2y'
_cell_length_a 14.616
_cell_length_b 6.933
_cell_length_c 4.499
_cell_angle_alpha 90.00
_cell_angle_beta 107.85
_cell_angle_gamma 90.00
loop_
_atom_site_label
_atom_site_type_symbol
_atom_site_fract_x
_atom_site_fract_y
_atom_site_fract_z
Mg1 Mg 0.000 0.218 0.000
Mg2 Mg 0.158 0.227 0.659
Cd1 Cd 0.162 0.500 0.163
Pt1 Pt 0.000 0.000 0.500
```

Material: Mg4CdPt2
Method: DFT, PBE
State: optimized geometry

The formation energy comes out at -0.615 eV per atom.

CIF file:
```
data_Mg4CdPt2
_chemical_formula_sum 'Mg12 Cd3 Pt6'
_symmetry_space_group_name_H-M 'R -3 m'
_symmetry_Int_Tables_number 166
_symmetry_space_group_name_Hall '-R 3 2"'
_cell_length_a 4.5913
_cell_length_b 4.5913
_cell_length_c 21.6650
_cell_angle_alpha 90.00
_cell_angle_beta 90.00
_cell_angle_gamma 120.00
loop_
_atom_site_label
_atom_site_type_symbol
_atom_site_fract_x
_atom_site_fract_y
_atom_site_fract_z
Mg1 Mg 0.0000 0.0000 0.1083
Mg2 Mg 0.0000 0.0000 0.3666
Cd1 Cd 0.0000 0.0000 0.5000
Pt1 Pt 0.0000 0.0000 0.2430
```

Material: MgCdPt2
Method: DFT, PBE
State: optimized geometry

The formation energy comes out at -0.359 eV per atom.

CIF file:
```
data_MgCdPt2
_chemical_formula_sum 'Mg1 Cd1 Pt2'
_symmetry_space_group_name_H-M 'P 4 m m'
_symmetry_Int_Tables_number 99
_symmetry_space_group_name_Hall 'P 4 -2'
_cell_length_a 3.467
_cell_length_b 3.467
_cell_length_c 5.796
_cell_angle_alpha 90.00
_cell_angle_beta 90.00
_cell_angle_gamma 90.00
loop_
_atom_site_label
_atom_site_type_symbol
_atom_site_fract_x
_atom_site_fract_y
_atom_site_fract_z
Mg1 Mg 0.000 0.000 0.000
Cd1 Cd 0.500 0.500 0.705
Pt1 Pt 0.000 0.000 0.478
Pt2 Pt 0.500 0.500 0.200
```

Material: MgCd3Pt6
Method: DFT, PBE
State: optimized geometry

The formation energy comes out at -0.397 eV per atom.

CIF file:
```
data_MgCd3Pt6
_chemical_formula_sum 'Mg2 Cd6 Pt12'
_symmetry_space_group_name_H-M 'P 1 21/m 1'
_symmetry_Int_Tables_number 11
_symmetry_space_group_name_Hall '-P 2yb'
_cell_length_a 8.905
_cell_length_b 4.123
_cell_length_c 9.158
_cell_angle_alpha 90.00
_cell_angle_beta 92.43
_cell_angle_gamma 90.00
loop_
_atom_site_label
_atom_site_type_symbol
_atom_site_fract_x
_atom_site_fract_y
_atom_site_fract_z
Mg1 Mg 0.054 0.250 0.390
Cd1 Cd 0.247 0.250 0.004
Cd2 Cd 0.347 0.750 0.799
Cd3 Cd 0.448 0.250 0.600
Pt1 Pt 0.048 0.750 0.900
Pt2 Pt 0.141 0.250 0.693
Pt3 Pt 0.147 0.750 0.204
Pt4 Pt 0.239 0.750 0.497
Pt5 Pt 0.344 0.250 0.302
Pt6 Pt 0.448 0.750 0.102
```

Material: Mg3CdPt
Method: DFT, PBE
State: optimized geometry

The formation energy comes out at -0.437 eV per atom. The calculation puts the energy above the lowest structure with this stoichiometry at 10 meV/atom.

CIF file:
```
data_Mg3CdPt
_chemical_formula_sum 'Mg9 Cd3 Pt3'
_symmetry_space_group_name_H-M 'P m -3 m'
_symmetry_Int_Tables_number 221
_symmetry_space_group_name_Hall '-P 4 2 3'
_cell_length_a 6.625
_cell_length_b 6.625
_cell_length_c 6.625
_cell_angle_alpha 90.00
_cell_angle_beta 90.00
_cell_angle_gamma 90.00
loop_
_atom_site_label
_atom_site_type_symbol
_atom_site_fract_x
_atom_site_fract_y
_atom_site_fract_z
Mg1 Mg 0.000 0.000 0.000
Mg2 Mg 0.273 0.273 0.273
Cd1 Cd 0.000 0.000 0.500
Pt1 Pt 0.000 0.500 0.500
```